Compound: MgCrCl2
Source: Alexandria
Functional: GGA-PBE
Structure: optimized geometry

Properties
M_tot	1.05	μB per atom
density	2.67	g/cm³
symmetry	P2/m
ΔE to the lowest computed polymorph	253	meV per atom
energy relative to the elements, uncorrected	-1.555	eV/f.u.
calculated volume	91.52	Å³ per cell

a b c (Å): 3.9479 3.5404 6.7837
angles (deg): 105.16 90.00 90.00
Each line ends with the local moment (μB).
Sites, in units of the cell vectors:
Mg (0.5000, 0.7500, 0.7500)  -0.07
Cl (0.0000, 0.5937, 0.4711)  -0.03
Cl (0.0000, 0.9063, 0.0289)  -0.03
Cr (0.5000, 0.2500, 0.2500)  4.09